# CuBiB2 (PBE, optimized geometry)
# Magnetic moment in μB/f.u.: 0.0
# E_form in eV per atom: 0.813
data_CuBiB2
_cell_length_a 4.0276
_cell_length_b 4.0276
_cell_length_c 14.1427
_cell_angle_alpha 90.00
_cell_angle_beta 90.00
_cell_angle_gamma 90.00
_space_group_name_H-M_alt 'P 1'
_space_group_IT_number 1
_space_group_name_Hall 'P 1'
loop_
_atom_site_label
_atom_site_fract_x
_atom_site_fract_y
_atom_site_fract_z
Cu1 0.0000 0.0000 0.0000
Cu2 0.0000 0.5000 0.2500
Cu3 0.5000 0.0000 0.7500
Cu4 0.5000 0.5000 0.5000
Bi1 0.0000 0.0000 0.5000
Bi2 0.0000 0.5000 0.7500
Bi3 0.5000 0.0000 0.2500
Bi4 0.5000 0.5000 0.0000
B1 0.0609 0.2500 0.1250
B2 0.2500 0.5609 0.3750
B3 0.2500 0.9391 0.8750
B4 0.4391 0.2500 0.6250
B5 0.5609 0.7500 0.6250
B6 0.7500 0.0609 0.8750
B7 0.7500 0.4391 0.3750
B8 0.9391 0.7500 0.1250


# ZrInAs2Br (PBE, optimized geometry)
# Magnetic moment in μB/f.u.: 0.0
# Energy relative to the elements, uncorrected in eV per atom: -0.23
# Energy above the lowest structure with this stoichiometry in meV per atom: 0.0
data_ZrInAs2Br
_cell_length_a 5.2068
_cell_length_b 5.2068
_cell_length_c 5.5802
_cell_angle_alpha 90.00
_cell_angle_beta 90.00
_cell_angle_gamma 90.00
_space_group_name_H-M_alt 'P 1'
_space_group_IT_number 1
_space_group_name_Hall 'P 1'
loop_
_atom_site_label
_atom_site_fract_x
_atom_site_fract_y
_atom_site_fract_z
Zr1 0.0000 0.0000 0.0000
In1 0.5000 0.5000 0.5000
As1 0.0000 0.5000 0.0000
As2 0.5000 0.0000 0.0000
Br1 0.0000 0.0000 0.5000


# CaPr2Ga (PBE, optimized geometry)
# Magnetic moment in μB/f.u.: 0.0
# E_form in eV per atom: -0.179
# Energy above the lowest structure with this stoichiometry in meV per atom: 46.0
data_CaPr2Ga
_cell_length_a 4.9864
_cell_length_b 4.9864
_cell_length_c 4.7990
_cell_angle_alpha 90.00
_cell_angle_beta 90.00
_cell_angle_gamma 90.00
_space_group_name_H-M_alt 'P 1'
_space_group_IT_number 1
_space_group_name_Hall 'P 1'
loop_
_atom_site_label
_atom_site_fract_x
_atom_site_fract_y
_atom_site_fract_z
Ca1 0.0000 0.0000 0.0000
Pr1 0.0000 0.5000 0.5000
Pr2 0.5000 0.0000 0.5000
Ga1 0.5000 0.5000 0.0000


# Li2Y3Se4 (PBE, optimized geometry)
# Magnetic moment in μB/f.u.: 0.0
# Energy relative to the elements, uncorrected in eV per atom: -1.50
data_Li2Y3Se4
_cell_length_a 7.0681
_cell_length_b 7.0681
_cell_length_c 10.3556
_cell_angle_alpha 125.05
_cell_angle_beta 125.05
_cell_angle_gamma 32.99
_space_group_name_H-M_alt 'P 1'
_space_group_IT_number 1
_space_group_name_Hall 'P 1'
loop_
_atom_site_label
_atom_site_fract_x
_atom_site_fract_y
_atom_site_fract_z
Li1 0.1607 0.1607 0.3718
Li2 0.8393 0.8393 0.6282
Y1 0.2979 0.2979 0.1709
Y2 0.5000 0.5000 0.0000
Y3 0.7021 0.7021 0.8291
Se1 0.0663 0.0663 0.8609
Se2 0.2481 0.2481 0.6732
Se3 0.7519 0.7519 0.3268
Se4 0.9337 0.9337 0.1391


# ZnAs2Se (PBE, optimized geometry)
# Magnetic moment in μB/f.u.: 0.0
# Energy relative to the elements, uncorrected in eV per atom: 0.43
# Energy above the lowest structure with this stoichiometry in meV per atom: 596.0
data_ZnAs2Se
_cell_length_a 6.7254
_cell_length_b 6.7254
_cell_length_c 6.7254
_cell_angle_alpha 90.00
_cell_angle_beta 90.00
_cell_angle_gamma 90.00
_space_group_name_H-M_alt 'P 1'
_space_group_IT_number 1
_space_group_name_Hall 'P 1'
loop_
_atom_site_label
_atom_site_fract_x
_atom_site_fract_y
_atom_site_fract_z
Zn1 0.0000 0.0000 0.0000
Zn2 0.0000 0.5000 0.5000
Zn3 0.5000 0.0000 0.5000
Zn4 0.5000 0.5000 0.0000
As1 0.2500 0.2500 0.2500
As2 0.2500 0.2500 0.7500
As3 0.2500 0.7500 0.2500
As4 0.2500 0.7500 0.7500
As5 0.7500 0.2500 0.2500
As6 0.7500 0.2500 0.7500
As7 0.7500 0.7500 0.2500
As8 0.7500 0.7500 0.7500
Se1 0.0000 0.0000 0.5000
Se2 0.0000 0.5000 0.0000
Se3 0.5000 0.0000 0.0000
Se4 0.5000 0.5000 0.5000


# CsMg2Sb2 (PBE, optimized geometry)
# Magnetic moment in μB/f.u.: 0.0
# Energy relative to the elements, uncorrected in eV per atom: -0.26
# Energy above the lowest structure with this stoichiometry in meV per atom: 186.0
data_CsMg2Sb2
_cell_length_a 9.1819
_cell_length_b 9.1819
_cell_length_c 3.4689
_cell_angle_alpha 90.00
_cell_angle_beta 90.00
_cell_angle_gamma 90.00
_space_group_name_H-M_alt 'P 1'
_space_group_IT_number 1
_space_group_name_Hall 'P 1'
loop_
_atom_site_label
_atom_site_fract_x
_atom_site_fract_y
_atom_site_fract_z
Cs1 0.0000 0.0000 0.0000
Cs2 0.5000 0.5000 0.0000
Mg1 0.1235 0.3765 0.0000
Mg2 0.3765 0.8765 0.0000
Mg3 0.6235 0.1235 0.0000
Mg4 0.8765 0.6235 0.0000
Sb1 0.1612 0.6612 0.5000
Sb2 0.3388 0.1612 0.5000
Sb3 0.6612 0.8388 0.5000
Sb4 0.8388 0.3388 0.5000


# Tb2PuScBi4 (PBE, optimized geometry)
# Magnetic moment in μB/f.u.: 5.2
# E_form in eV per atom: -0.667
data_Tb2PuScBi4
_cell_length_a 7.7001
_cell_length_b 4.4576
_cell_length_c 7.7130
_cell_angle_alpha 90.00
_cell_angle_beta 109.40
_cell_angle_gamma 90.00
_space_group_name_H-M_alt 'P 1'
_space_group_IT_number 1
_space_group_name_Hall 'P 1'
loop_
_atom_site_label
_atom_site_fract_x
_atom_site_fract_y
_atom_site_fract_z
Tb1 0.0000 0.0000 0.0000
Tb2 0.5000 0.5000 0.0000
Pu1 0.0000 0.5000 0.5000
Sc1 0.5000 0.0000 0.5000
Bi1 0.2564 0.0000 0.7460
Bi2 0.2608 0.5000 0.2598
Bi3 0.7392 0.5000 0.7402
Bi4 0.7436 0.0000 0.2540


# Hf4FeP (PBE, optimized geometry)
# Magnetic moment in μB/f.u.: 0.0
# E_form in eV per atom: -0.348
data_Hf4FeP
_cell_length_a 7.1120
_cell_length_b 7.1120
_cell_length_c 7.1120
_cell_angle_alpha 127.01
_cell_angle_beta 127.01
_cell_angle_gamma 78.23
_space_group_name_H-M_alt 'P 1'
_space_group_IT_number 1
_space_group_name_Hall 'P 1'
loop_
_atom_site_label
_atom_site_fract_x
_atom_site_fract_y
_atom_site_fract_z
Hf1 0.0385 0.5385 0.8445
Hf2 0.1940 0.0385 0.5000
Hf3 0.3060 0.8060 0.8445
Hf4 0.4615 0.3060 0.5000
Hf5 0.5385 0.6940 0.5000
Hf6 0.6940 0.1940 0.1555
Hf7 0.8060 0.9615 0.5000
Hf8 0.9615 0.4615 0.1555
Fe1 0.2500 0.2500 0.0000
Fe2 0.7500 0.7500 0.0000
P1 0.0000 0.0000 0.0000
P2 0.5000 0.5000 0.0000


# YTa3Pb (PBE, optimized geometry)
# Magnetic moment in μB/f.u.: 0.0
# E_form in eV per atom: 1.848
# Energy above the lowest structure with this stoichiometry in meV per atom: 0.0
data_YTa3Pb
_cell_length_a 5.1729
_cell_length_b 5.1729
_cell_length_c 5.1729
_cell_angle_alpha 90.00
_cell_angle_beta 90.00
_cell_angle_gamma 90.00
_space_group_name_H-M_alt 'P 1'
_space_group_IT_number 1
_space_group_name_Hall 'P 1'
loop_
_atom_site_label
_atom_site_fract_x
_atom_site_fract_y
_atom_site_fract_z
Y1 0.0000 0.0000 0.0000
Ta1 0.0000 0.5000 0.5000
Ta2 0.5000 0.0000 0.5000
Ta3 0.5000 0.5000 0.0000
Pb1 0.5000 0.5000 0.5000


# Sr3PdRh (PBE, optimized geometry)
# Magnetic moment in μB/f.u.: 0.0
# E_form in eV per atom: -0.050
# Energy above the lowest structure with this stoichiometry in meV per atom: 302.6
data_Sr3PdRh
_cell_length_a 5.6348
_cell_length_b 5.6348
_cell_length_c 5.6348
_cell_angle_alpha 90.00
_cell_angle_beta 90.00
_cell_angle_gamma 90.00
_space_group_name_H-M_alt 'P 1'
_space_group_IT_number 1
_space_group_name_Hall 'P 1'
loop_
_atom_site_label
_atom_site_fract_x
_atom_site_fract_y
_atom_site_fract_z
Sr1 0.0000 0.0000 0.5000
Sr2 0.0000 0.5000 0.0000
Sr3 0.5000 0.0000 0.0000
Pd1 0.5000 0.5000 0.5000
Rh1 0.0000 0.0000 0.0000


# PmTmTl2 (PBE, optimized geometry)
# Magnetic moment in μB/f.u.: 0.0
# E_form in eV per atom: -0.336
data_PmTmTl2
_cell_length_a 7.6393
_cell_length_b 7.6393
_cell_length_c 7.6393
_cell_angle_alpha 90.00
_cell_angle_beta 90.00
_cell_angle_gamma 90.00
_space_group_name_H-M_alt 'P 1'
_space_group_IT_number 1
_space_group_name_Hall 'P 1'
loop_
_atom_site_label
_atom_site_fract_x
_atom_site_fract_y
_atom_site_fract_z
Pm1 0.0000 0.0000 0.0000
Pm2 0.0000 0.5000 0.5000
Pm3 0.5000 0.0000 0.5000
Pm4 0.5000 0.5000 0.0000
Tm1 0.0000 0.0000 0.5000
Tm2 0.0000 0.5000 0.0000
Tm3 0.5000 0.0000 0.0000
Tm4 0.5000 0.5000 0.5000
Tl1 0.2500 0.2500 0.2500
Tl2 0.2500 0.2500 0.7500
Tl3 0.2500 0.7500 0.2500
Tl4 0.2500 0.7500 0.7500
Tl5 0.7500 0.2500 0.2500
Tl6 0.7500 0.2500 0.7500
Tl7 0.7500 0.7500 0.2500
Tl8 0.7500 0.7500 0.7500


# BiPtSeO2 (PBE, optimized geometry)
# Magnetic moment in μB/f.u.: 0.0
# Energy relative to the elements, uncorrected in eV per atom: -0.13
data_BiPtSeO2
_cell_length_a 4.0215
_cell_length_b 4.0215
_cell_length_c 4.9782
_cell_angle_alpha 90.00
_cell_angle_beta 90.00
_cell_angle_gamma 90.00
_space_group_name_H-M_alt 'P 1'
_space_group_IT_number 1
_space_group_name_Hall 'P 1'
loop_
_atom_site_label
_atom_site_fract_x
_atom_site_fract_y
_atom_site_fract_z
Bi1 0.0000 0.0000 0.0000
Pt1 0.5000 0.5000 0.0000
Se1 0.5000 0.5000 0.5000
O1 0.0000 0.5000 0.5000
O2 0.5000 0.0000 0.5000


# Sr3Ho2PaP6 (PBE, optimized geometry)
# Magnetic moment in μB/f.u.: 0.0
# E_form in eV per atom: -1.268
data_Sr3Ho2PaP6
_cell_length_a 7.1753
_cell_length_b 7.1753
_cell_length_c 7.3434
_cell_angle_alpha 99.38
_cell_angle_beta 99.38
_cell_angle_gamma 120.04
_space_group_name_H-M_alt 'P 1'
_space_group_IT_number 1
_space_group_name_Hall 'P 1'
loop_
_atom_site_label
_atom_site_fract_x
_atom_site_fract_y
_atom_site_fract_z
Sr1 0.0000 0.0000 0.0000
Sr2 0.3311 0.6689 0.0000
Sr3 0.6689 0.3311 0.0000
Ho1 0.1666 0.8334 0.5000
Ho2 0.8334 0.1666 0.5000
Pa1 0.5000 0.5000 0.5000
P1 0.1020 0.4277 0.2829
P2 0.2471 0.2471 0.7175
P3 0.4277 0.1020 0.2829
P4 0.5723 0.8980 0.7171
P5 0.7529 0.7529 0.2825
P6 0.8980 0.5723 0.7171


# AcCdGeH (PBE, optimized geometry)
# Magnetic moment in μB/f.u.: 0.0
data_AcCdGeH
_cell_length_a 4.4593
_cell_length_b 4.4593
_cell_length_c 8.3001
_cell_angle_alpha 90.00
_cell_angle_beta 90.00
_cell_angle_gamma 90.00
_space_group_name_H-M_alt 'P 1'
_space_group_IT_number 1
_space_group_name_Hall 'P 1'
loop_
_atom_site_label
_atom_site_fract_x
_atom_site_fract_y
_atom_site_fract_z
Ac1 0.2500 0.2500 0.1546
Ac2 0.7500 0.7500 0.8454
Cd1 0.2500 0.7500 0.5000
Cd2 0.7500 0.2500 0.5000
Ge1 0.2500 0.2500 0.7176
Ge2 0.7500 0.7500 0.2824
H1 0.2500 0.7500 0.0000
H2 0.7500 0.2500 0.0000


| no. | V (A^3/atom) | total DFT energy (no corrections) (eV per atom) |
| --- | --- | --- |
| 1 | 14.34 | -4.5204 |
| 2 | 30.26 | -4.6796 |
| 3 | 29.83 | -3.8254 |
| 4 | 25.06 | -5.6304 |
| 5 | 19.01 | -3.0829 |
| 6 | 29.25 | -2.7174 |
| 7 | 31.21 | -6.3481 |
| 8 | 18.52 | -9.2956 |
| 9 | 27.68 | -7.2977 |
| 10 | 35.78 | -3.5683 |
| 11 | 27.86 | -3.8249 |
| 12 | 16.10 | -4.7936 |
| 13 | 25.78 | -5.9480 |
| 14 | 20.63 | -3.7948 |